Computed, not measured: Tb6Pr after structural relaxation at the PBE level of DFT.

Calculated values
* size of the total moment: 0.00 μB per formula unit
* calculated total energy: -46.4 eV/cell
* Fermi-level density of states: 0.909 states/eV/atom

Unit cell a=8.0599 b=8.0599 c=8.0599 alpha=90.00 beta=90.00 gamma=90.00
With the nearest neighbours (Å) after each atom.
Space group Im-3m (No. 229)
Inequivalent atoms, fractional coordinates:
Tb 0.0000 0.2500 0.5000 x12  4 Tb 2.85
Pr 0.0000 0.0000 0.0000 x2  24 Tb 4.51

Computed, not measured: Mg2Co after structural relaxation at the PBE level of DFT.

Calculated values
* size of the total moment: 1.40 μB per formula unit
* calculated total energy: -66.3 eV/cell
* Fermi-level density of states: 1.440 states/eV/atom

Unit cell a=7.5922 b=7.5922 c=7.5922 alpha=90.00 beta=90.00 gamma=90.00
With the nearest neighbours (Å) after each atom.
Space group Fd-3m (No. 227, origin choice 2)
Inequivalent atoms, fractional coordinates:
Mg 0.0000 0.0000 0.0000 x16  6 Mg 2.68
Co 0.1250 0.1250 0.6250 x8  12 Mg 3.15, 4 Co 3.29